(1)
A relaxed Cs2RbInI5 crystal, computed with PBE.

Computed properties:
- formation energy without anion corrections (meV per atom) = -1169.9
- total moment (μB/f.u.) = 0.00

a b c (Å): 5.637 21.751 15.412
angles (deg): 90.00 90.00 90.00
Space group Cmc2_1 (No. 36)
Unique sites:
Cs 0.000 0.112 0.000 x4
Cs 0.000 0.143 0.633 x4
Rb 0.000 0.209 0.332 x4
In 0.000 0.471 0.750 x4
I 0.000 0.033 0.311 x4
I 0.000 0.287 0.986 x4
I 0.000 0.335 0.681 x4
I 0.000 0.379 0.314 x4
I 0.000 0.485 0.071 x4



(2)
A relaxed CsRbIn2I6 crystal, computed with PBE.

Computed properties:
- formation energy without anion corrections (meV per atom) = -901.7
- total moment (μB/f.u.) = 0.00

a b c (Å): 8.648 8.651 8.652
angles (deg): 61.68 61.70 61.68
Space group P1 (No. 1)
Unique sites:
Cs 0.000 0.000 0.000 x1
Rb 0.515 0.515 0.516 x1
In 0.248 0.249 0.249 x1
In 0.749 0.749 0.749 x1
I 0.055 0.913 0.521 x1
I 0.452 0.570 0.974 x1
I 0.520 0.055 0.914 x1
I 0.571 0.974 0.452 x1
I 0.913 0.520 0.056 x1
I 0.975 0.452 0.571 x1



(3)
A relaxed Cs2RbInI4 crystal, computed with PBE.

Computed properties:
- formation energy without anion corrections (meV per atom) = -1253.5
- total moment (μB/f.u.) = 0.00

a b c (Å): 9.228 5.343 9.244
angles (deg): 90.00 109.51 90.00
Space group P2/m (No. 10)
Unique sites:
Cs 0.000 0.000 0.000 x1
Cs 0.500 0.500 0.000 x1
Rb 0.000 0.500 0.500 x1
In 0.500 0.000 0.500 x1
I 0.251 0.000 0.731 x2
I 0.265 0.500 0.273 x2